Material: Na2CoH12S2O14
Method: DFT, PBE with a Hubbard U
State: optimized geometry

Results
ρ = 2.1 Mg/m³
electronic total energy = -330.95 eV per cell
V = 10.1 Å³ per atom

Structure (POSCAR):
```
Na2CoH12S2O14
1.0
5.940 0.000 0.000
0.000 12.364 0.000
-2.231 0.000 8.522
Na Co H S O
4 2 24 4 28
Direct
0.158 0.140 0.333
0.158 0.360 0.833
0.842 0.640 0.167
0.842 0.860 0.667
0.500 0.000 0.000
0.500 0.500 0.500
0.160 0.080 0.766
0.160 0.420 0.266
0.163 0.568 0.614
0.163 0.932 0.114
0.164 0.647 0.466
0.164 0.853 0.966
0.397 0.114 0.725
0.397 0.386 0.225
0.419 0.621 0.238
0.419 0.879 0.738
0.459 0.197 0.123
0.459 0.303 0.623
0.541 0.697 0.377
0.541 0.803 0.877
0.581 0.121 0.262
0.581 0.379 0.762
0.603 0.614 0.775
0.603 0.886 0.275
0.836 0.147 0.034
0.836 0.353 0.534
0.837 0.068 0.886
0.837 0.432 0.386
0.840 0.580 0.734
0.840 0.920 0.234
0.232 0.645 0.922
0.232 0.855 0.422
0.768 0.145 0.578
0.768 0.355 0.078
0.098 0.744 0.861
0.098 0.756 0.361
0.144 0.555 0.808
0.144 0.945 0.308
0.195 0.616 0.077
0.195 0.884 0.577
0.196 0.572 0.509
0.196 0.928 0.009
0.324 0.100 0.813
0.324 0.400 0.313
0.444 0.125 0.168
0.444 0.375 0.668
0.487 0.662 0.935
0.487 0.838 0.435
0.513 0.162 0.565
0.513 0.338 0.065
0.556 0.625 0.332
0.556 0.875 0.832
0.676 0.600 0.687
0.676 0.900 0.187
0.804 0.072 0.991
0.804 0.428 0.491
0.805 0.116 0.423
0.805 0.384 0.923
0.856 0.055 0.692
0.856 0.445 0.192
0.902 0.244 0.639
0.902 0.256 0.139
```